# 1
The following is a DFT calculation (PBE) of CsCa2HoCl8 after structural relaxation.

Cell lengths 6.476, 6.674, 8.956 Å; angles 89.93, 89.89, 88.76 degrees
Space group P-1 (No. 2)
One atom of each set of equivalent atoms:
Cs 0.000 0.000 0.000 [1 per cell]
Ca 0.500 0.500 0.248 [2 per cell]
Ho 0.000 0.000 0.500 [1 per cell]
Cl 0.240 0.825 0.700 [2 per cell]
Cl 0.241 0.826 0.300 [2 per cell]
Cl 0.262 0.316 0.500 [2 per cell]
Cl 0.275 0.401 0.000 [2 per cell]



# 2
The following is a DFT calculation (PBE) of CsCaHoCl6 after structural relaxation.

Cell lengths 7.1292, 7.1292, 7.6599 Å; angles 90.00, 90.00, 120.00 degrees
Space group P312 (No. 149)
One atom of each set of equivalent atoms:
Cs 0.0000 0.0000 0.0000 [1 per cell]
Ca 0.3333 0.6667 0.5000 [1 per cell]
Ho 0.6667 0.3333 0.5000 [1 per cell]
Cl 0.3853 0.0119 0.6992 [6 per cell]



no.,E_tot (eV per atom),M_tot (μB per cell)
1,-4.260,0.0
2,-4.369,0.0